First-principles (PBE-GGA) data for an optimized crystal structure of AcTb6Y4, as listed in Alexandria via LeMat-Bulk.

Computed properties:
Its energy relative to the elements is 0.139 eV/atom. Its final energy is -112.4 eV for the cell shown.

a b c (Å): 5.704 5.704 25.784
angles (deg): 90.00 90.00 118.37
Sites, in units of the cell vectors:
Ac: 0.200 0.800 0.750
Ac: 0.800 0.200 0.250
Tb: 0.132 0.868 0.180
Tb: 0.132 0.868 0.320
Tb: 0.196 0.804 0.599
Tb: 0.196 0.804 0.901
Tb: 0.463 0.537 0.250
Tb: 0.500 0.500 0.000
Tb: 0.500 0.500 0.500
Tb: 0.537 0.463 0.750
Tb: 0.804 0.196 0.099
Tb: 0.804 0.196 0.401
Tb: 0.868 0.132 0.680
Tb: 0.868 0.132 0.820
Y: 0.154 0.846 0.042
Y: 0.154 0.846 0.458
Y: 0.462 0.538 0.122
Y: 0.462 0.538 0.378
Y: 0.538 0.462 0.622
Y: 0.538 0.462 0.878
Y: 0.846 0.154 0.542
Y: 0.846 0.154 0.958

***

First-principles (PBE-GGA) data for an optimized crystal structure of VPdRh4, as listed in Alexandria via LeMat-Bulk.

Computed properties:
Its energy relative to the elements is -0.172 eV/atom. Its final energy is -89.5 eV for the cell shown.

a b c (Å): 4.713 5.457 7.142
angles (deg): 78.99 77.38 73.30
Sites, in units of the cell vectors:
V: 0.227 0.174 0.094
V: 0.773 0.826 0.906
Pd: 0.253 0.675 0.083
Pd: 0.747 0.325 0.917
Rh: 0.236 0.507 0.757
Rh: 0.242 0.840 0.414
Rh: 0.257 0.330 0.418
Rh: 0.261 0.003 0.758
Rh: 0.739 0.997 0.242
Rh: 0.743 0.670 0.582
Rh: 0.758 0.160 0.586
Rh: 0.764 0.493 0.243

***

First-principles (PBE-GGA) data for an optimized crystal structure of Rb3Sb5Se12, as listed in Alexandria via LeMat-Bulk.

Computed properties:
Its final energy is -289.9 eV for the cell shown.

a b c (Å): 15.233 15.233 15.233
angles (deg): 109.47 109.47 109.47
Sites, in units of the cell vectors:
Rb: 0.125 0.250 0.375
Rb: 0.125 0.375 0.750
Rb: 0.250 0.375 0.125
Rb: 0.250 0.875 0.625
Rb: 0.375 0.125 0.250
Rb: 0.375 0.750 0.125
Rb: 0.625 0.250 0.875
Rb: 0.625 0.875 0.750
Rb: 0.750 0.125 0.375
Rb: 0.750 0.625 0.875
Rb: 0.875 0.625 0.250
Rb: 0.875 0.750 0.625
Sb: 0.000 0.000 0.000
Sb: 0.000 0.000 0.500
Sb: 0.000 0.500 0.000
Sb: 0.000 0.500 0.500
Sb: 0.125 0.750 0.875
Sb: 0.125 0.875 0.250
Sb: 0.250 0.125 0.875
Sb: 0.250 0.625 0.375
Sb: 0.375 0.250 0.625
Sb: 0.375 0.625 0.750
Sb: 0.500 0.000 0.000
Sb: 0.500 0.000 0.500
Sb: 0.500 0.500 0.000
Sb: 0.500 0.500 0.500
Sb: 0.625 0.375 0.250
Sb: 0.625 0.750 0.375
Sb: 0.750 0.375 0.625
Sb: 0.750 0.875 0.125
Sb: 0.875 0.125 0.750
Sb: 0.875 0.250 0.125
Se: 0.020 0.205 0.114
Se: 0.020 0.315 0.906
Se: 0.091 0.705 0.685
Se: 0.091 0.886 0.406
Se: 0.094 0.614 0.409
Se: 0.094 0.980 0.685
Se: 0.114 0.020 0.205
Se: 0.114 0.594 0.909
Se: 0.185 0.205 0.591
Se: 0.185 0.480 0.594
Se: 0.205 0.114 0.020
Se: 0.205 0.591 0.185
Se: 0.295 0.315 0.909
Se: 0.295 0.480 0.386
Se: 0.315 0.906 0.020
Se: 0.315 0.909 0.295
Se: 0.386 0.295 0.480
Se: 0.386 0.591 0.906
Se: 0.406 0.091 0.886
Se: 0.406 0.815 0.520
Se: 0.409 0.094 0.614
Se: 0.409 0.815 0.795
Se: 0.480 0.386 0.295
Se: 0.480 0.594 0.185
Se: 0.520 0.406 0.815
Se: 0.520 0.614 0.705
Se: 0.591 0.185 0.205
Se: 0.591 0.906 0.386
Se: 0.594 0.185 0.480
Se: 0.594 0.909 0.114
Se: 0.614 0.409 0.094
Se: 0.614 0.705 0.520
Se: 0.685 0.091 0.705
Se: 0.685 0.094 0.980
Se: 0.705 0.520 0.614
Se: 0.705 0.685 0.091
Se: 0.795 0.409 0.815
Se: 0.795 0.886 0.980
Se: 0.815 0.520 0.406
Se: 0.815 0.795 0.409
Se: 0.886 0.406 0.091
Se: 0.886 0.980 0.795
Se: 0.906 0.020 0.315
Se: 0.906 0.386 0.591
Se: 0.909 0.114 0.594
Se: 0.909 0.295 0.315
Se: 0.980 0.685 0.094
Se: 0.980 0.795 0.886

***

First-principles (PBE-GGA) data for an optimized crystal structure of SrSnH6Rh2, as listed in Alexandria via LeMat-Bulk.

Computed properties:
Its final energy is -43.8 eV for the cell shown.

a b c (Å): 6.529 6.529 6.529
angles (deg): 41.17 41.17 41.17
Sites, in units of the cell vectors:
Sr: 0.000 0.000 0.000
Sn: 0.500 0.500 0.500
H: 0.043 0.573 0.573
H: 0.427 0.427 0.957
H: 0.427 0.957 0.427
H: 0.573 0.043 0.573
H: 0.573 0.573 0.043
H: 0.957 0.427 0.427
Rh: 0.212 0.212 0.212
Rh: 0.788 0.788 0.788

***

First-principles (PBE-GGA) data for an optimized crystal structure of Mn6Fe5, as listed in Alexandria via LeMat-Bulk.

Computed properties:
Its energy relative to the elements is 0.201 eV/atom. Its final energy is -95.1 eV for the cell shown.

a b c (Å): 6.700 6.700 6.700
angles (deg): 146.64 130.52 60.99
Sites, in units of the cell vectors:
Mn: 0.074 0.351 0.723
Mn: 0.199 0.000 0.199
Mn: 0.372 0.649 0.723
Mn: 0.628 0.351 0.277
Mn: 0.801 0.000 0.801
Mn: 0.926 0.649 0.277
Fe: 0.195 0.195 0.000
Fe: 0.344 0.844 0.500
Fe: 0.500 0.500 0.000
Fe: 0.656 0.156 0.500
Fe: 0.805 0.805 0.000

***

First-principles (PBE-GGA) data for an optimized crystal structure of MgFe, as listed in Alexandria via LeMat-Bulk.

Computed properties:
Its energy relative to the elements is 0.269 eV/atom. Its final energy is -19.0 eV for the cell shown.

a b c (Å): 4.739 4.739 4.739
angles (deg): 130.44 130.44 72.70
Sites, in units of the cell vectors:
Mg: 0.375 0.625 0.750
Mg: 0.625 0.375 0.250
Fe: 0.125 0.875 0.250
Fe: 0.875 0.125 0.750

***

First-principles (PBE-GGA) data for an optimized crystal structure of In2CuI, as listed in Alexandria via LeMat-Bulk.

Computed properties:
Its final energy is -21.5 eV for the cell shown.

a b c (Å): 8.627 8.627 8.627
angles (deg): 136.95 136.95 62.51
Sites, in units of the cell vectors:
In: 0.014 0.625 0.889
In: 0.375 0.264 0.389
In: 0.736 0.125 0.111
In: 0.875 0.986 0.611
Cu: 0.000 0.000 0.000
Cu: 0.750 0.250 0.500
I: 0.250 0.750 0.500
I: 0.500 0.500 0.000

***

First-principles (PBE-GGA) data for an optimized crystal structure of K2ScBr, as listed in Alexandria via LeMat-Bulk.

Computed properties:
Its final energy is -11.7 eV for the cell shown.

a b c (Å): 3.745 3.745 10.647
angles (deg): 90.00 90.00 90.00
Sites, in units of the cell vectors:
K: 0.000 0.000 0.193
K: 0.000 0.000 0.807
Sc: 0.500 0.500 0.500
Br: 0.500 0.500 0.000

***

First-principles (PBE-GGA) data for an optimized crystal structure of K4BeRe, as listed in Alexandria via LeMat-Bulk.

Computed properties:
Its energy relative to the elements is 1.673 eV/atom. Its final energy is -10.5 eV for the cell shown.

a b c (Å): 6.986 6.986 6.986
angles (deg): 60.00 60.00 60.00
Sites, in units of the cell vectors:
K: 0.125 0.125 0.125
K: 0.125 0.125 0.625
K: 0.125 0.625 0.125
K: 0.625 0.125 0.125
Be: 0.500 0.500 0.500
Re: 0.750 0.750 0.750

***

First-principles (PBE-GGA) data for an optimized crystal structure of CsAgSb3, as listed in Alexandria via LeMat-Bulk.

Computed properties:
Its final energy is -7.9 eV for the cell shown.

a b c (Å): 6.192 6.192 6.192
angles (deg): 90.00 90.00 90.00
Sites, in units of the cell vectors:
Cs: 0.000 0.000 0.000
Ag: 0.500 0.500 0.500
Sb: 0.000 0.000 0.500
Sb: 0.000 0.500 0.000
Sb: 0.500 0.000 0.000

***

First-principles (PBE-GGA) data for an optimized crystal structure of KYH2, as listed in Alexandria via LeMat-Bulk.

Computed properties:
Its final energy is -29.3 eV for the cell shown.

a b c (Å): 6.968 6.968 6.968
angles (deg): 131.17 131.17 71.55
Sites, in units of the cell vectors:
K: 0.000 0.000 0.000
K: 0.750 0.250 0.500
Y: 0.250 0.750 0.500
Y: 0.500 0.500 0.000
H: 0.286 0.625 0.161
H: 0.375 0.536 0.661
H: 0.464 0.125 0.839
H: 0.875 0.714 0.339

***

First-principles (PBE-GGA) data for an optimized crystal structure of Pm6Dy3Er2Mg, as listed in Alexandria via LeMat-Bulk.

Computed properties:
Its energy relative to the elements is 0.023 eV/atom. Its final energy is -52.7 eV for the cell shown.

a b c (Å): 6.207 6.207 11.728
angles (deg): 95.08 95.08 120.03
Sites, in units of the cell vectors:
Pm: 0.082 0.415 0.248
Pm: 0.251 0.251 0.751
Pm: 0.415 0.082 0.248
Pm: 0.585 0.918 0.752
Pm: 0.749 0.749 0.249
Pm: 0.918 0.585 0.752
Dy: 0.167 0.833 0.500
Dy: 0.500 0.500 0.500
Dy: 0.833 0.167 0.500
Er: 0.334 0.666 0.000
Er: 0.666 0.334 0.000
Mg: 0.000 0.000 0.000